No. 1
Density functional theory data (PBE with a Hubbard U) for FeAg2PbF after structural relaxation.

Calculated values
As for the symmetry: P4/mmm. The value obtained for the energy above the most stable polymorph in this dataset is 11.21 kcal/mol of atoms.

Cell: 4.6364 4.9721 4.6364 Å, 90.00 90.00 90.00°
Site moments in Bohr magnetons follow the coordinates.
Positions (direct):
Pb 0.0000 0.5000 0.0000  -0.05
Fe 0.5000 0.5000 0.5000  3.62
Ag 0.0000 0.0000 0.5000  0.00
Ag 0.5000 0.0000 0.0000  -0.02
F 0.0000 0.0000 0.0000  -0.03

***

No. 2
Density functional theory data (PBE with a Hubbard U) for FeAg2PbF after structural relaxation.

Calculated values
As for the symmetry: P4/mmm. The value obtained for the energy above the most stable polymorph in this dataset is 0.00 kcal/mol of atoms.

Cell: 5.2196 3.8595 5.2196 Å, 90.00 90.00 90.00°
Site moments in Bohr magnetons follow the coordinates.
Positions (direct):
Pb 0.5000 0.5000 0.5000  0.00
Fe 0.0000 0.5000 0.0000  3.73
Ag 0.0000 0.0000 0.5000  0.01
Ag 0.5000 0.0000 0.0000  0.00
F 0.0000 0.0000 0.0000  0.06

***

No. 3
Density functional theory data (PBE with a Hubbard U) for FeAg2PdF6 after structural relaxation.

Calculated values
As for the symmetry: P-1. As for the final energy: -4.27 eV per atom.

Cell: 5.4849 6.9752 6.0569 Å, 46.46 59.58 63.50°
Site moments in Bohr magnetons follow the coordinates.
Positions (direct):
Fe 0.3162 0.3161 0.0515  4.44
Ag 0.5312 0.6235 0.2182  0.01
Ag 0.1013 0.0087 0.8850  0.01
Pd 0.8161 0.8162 0.5515  0.82
F 0.5139 0.2158 0.3280  0.11
F 0.0722 0.0450 0.4420  0.11
F 0.0480 0.5721 0.1320  0.09
F 0.5600 0.5874 0.6610  0.11
F 0.5844 0.0602 0.9710  0.09
F 0.1184 0.4165 0.7750  0.11

***

No. 4
Density functional theory data (PBE with a Hubbard U) for PmFeAgF6 after structural relaxation.

Calculated values
As for the symmetry: P4_2nm. As for the final energy: -5.53 eV per atom.

Cell: 5.2785 5.2785 10.6250 Å, 90.00 90.00 90.00°
Site moments in Bohr magnetons follow the coordinates.
Positions (direct):
Pm 0.5000 0.5000 0.1697  0.01
Pm 0.0000 0.0000 0.6697  0.01
Fe 0.5000 0.5000 0.8335  3.81
Fe 0.0000 0.0000 0.3335  3.81
Ag 0.5000 0.5000 0.4992  0.00
Ag 0.0000 0.0000 0.9992  0.00
F 0.1779 0.8221 0.4934  0.02
F 0.8221 0.1779 0.4934  0.02
F 0.3221 0.3221 0.9934  0.02
F 0.6779 0.6779 0.9934  0.02
F 0.1984 0.8016 0.1890  0.02
F 0.8016 0.1984 0.1890  0.02
F 0.3016 0.3016 0.6890  0.02
F 0.6984 0.6984 0.6890  0.02
F 0.7744 0.2256 0.8164  0.02
F 0.2256 0.7744 0.8164  0.02
F 0.7256 0.7256 0.3164  0.02
F 0.2744 0.2744 0.3164  0.02

***

No. 5
Density functional theory data (PBE with a Hubbard U) for PmFeAg2F8 after structural relaxation.

Calculated values
As for the symmetry: P2/m. As for the final energy: -5.04 eV per atom.

Cell: 4.3343 5.8450 7.1345 Å, 90.00 90.00 93.88°
Site moments in Bohr magnetons follow the coordinates.
Positions (direct):
Pm 0.0000 0.0000 0.5000  0.01
Fe 0.0000 0.0000 0.0000  4.43
Ag 0.5000 0.5000 0.7711  -0.01
Ag 0.5000 0.5000 0.2289  -0.01
F 0.1066 0.8033 0.2223  0.06
F 0.6314 0.8016 0.0000  0.10
F 0.8934 0.1967 0.2223  0.06
F 0.8934 0.1967 0.7777  0.06
F 0.3686 0.1984 0.0000  0.10
F 0.1066 0.8033 0.7777  0.06
F 0.5464 0.7732 0.5000  0.00
F 0.4536 0.2268 0.5000  0.00

***

No. 6
Density functional theory data (PBE with a Hubbard U) for RbFeAg2F6 after structural relaxation.

Calculated values
As for the symmetry: P2_1/c. As for the final energy: -4.18 eV per atom.

Cell: 6.0242 6.4536 8.4400 Å, 90.00 88.30 90.00°
Site moments in Bohr magnetons follow the coordinates.
Positions (direct):
Rb 0.5000 0.0000 0.0000  0.00
Rb 0.0000 0.5000 0.5000  0.00
Fe 0.5000 0.0000 0.5000  3.01
Fe 0.0000 0.5000 0.0000  3.01
Ag 0.0073 0.9903 0.2695  -0.04
Ag 0.5073 0.5097 0.7695  -0.04
Ag 0.9927 0.0097 0.7305  -0.04
Ag 0.4927 0.4903 0.2305  -0.04
F 0.2719 0.6448 0.9972  -0.03
F 0.7719 0.8552 0.4972  -0.03
F 0.7281 0.3552 0.0028  -0.03
F 0.2281 0.1448 0.5028  -0.03
F 0.3586 0.7926 0.3475  0.05
F 0.8586 0.7074 0.8475  0.05
F 0.6414 0.2074 0.6525  0.05
F 0.1414 0.2926 0.1525  0.05
F 0.8838 0.6599 0.1755  -0.03
F 0.3838 0.8401 0.6755  -0.03
F 0.1162 0.3401 0.8245  -0.03
F 0.6162 0.1599 0.3245  -0.03

***

No. 7
Density functional theory data (PBE with a Hubbard U) for RbFe2AgF8 after structural relaxation.

Calculated values
As for the symmetry: P-3. As for the final energy: -4.66 eV per atom.

Cell: 6.2393 6.2393 6.4655 Å, 90.00 90.00 120.00°
Site moments in Bohr magnetons follow the coordinates.
Positions (direct):
Rb 0.0000 0.0000 0.5000  0.00
Fe 0.6667 0.3333 0.0263  4.40
Fe 0.3333 0.6667 0.9737  4.40
Ag 0.0000 0.0000 0.0000  -0.07
F 0.9190 0.6061 0.8738  0.10
F 0.3939 0.3129 0.8738  0.10
F 0.6871 0.0810 0.8738  0.10
F 0.0810 0.3939 0.1262  0.10
F 0.6061 0.6871 0.1262  0.10
F 0.3129 0.9190 0.1262  0.10
F 0.6667 0.3333 0.3087  0.16
F 0.3333 0.6667 0.6913  0.16

***

No. 8
Density functional theory data (PBE with a Hubbard U) for Rb3Fe2AgF9 after structural relaxation.

Calculated values
As for the symmetry: P-3m1. As for the final energy: -4.67 eV per atom.

Cell: 6.1100 6.1100 7.5934 Å, 90.00 90.00 120.00°
Site moments in Bohr magnetons follow the coordinates.
Positions (direct):
Rb 0.3333 0.6667 0.6509  0.00
Rb 0.0000 0.0000 0.0000  0.00
Rb 0.6667 0.3333 0.3491  0.00
Fe 0.3333 0.6667 0.1518  4.16
Fe 0.6667 0.3333 0.8482  4.16
Ag 0.0000 0.0000 0.5000  0.03
F 0.8207 0.1793 0.7004  0.06
F 0.8207 0.6414 0.7004  0.06
F 0.3586 0.1793 0.7004  0.06
F 0.6414 0.8207 0.2996  0.06
F 0.1793 0.3586 0.2996  0.06
F 0.1793 0.8207 0.2996  0.06
F 0.5000 0.0000 0.0000  0.06
F 0.0000 0.5000 0.0000  0.06
F 0.5000 0.5000 0.0000  0.06

***

No. 9
Density functional theory data (PBE with a Hubbard U) for Rb2FeAgF6 after structural relaxation.

Calculated values
As for the symmetry: I4/mmm. As for the final energy: -4.54 eV per atom.

Cell: 6.2335 6.2335 6.2387 Å, 60.03 60.03 90.00°
Site moments in Bohr magnetons follow the coordinates.
Positions (direct):
F 0.2774 0.2774 0.4452  0.08
F 0.7226 0.7226 0.5548  0.08
F 0.2771 0.2771 0.0000  0.08
F 0.7229 0.7229 0.0000  0.08
F 0.7229 0.2771 0.0000  0.08
F 0.2771 0.7229 0.0000  0.08
Rb 0.7500 0.2500 0.5000  0.00
Rb 0.2500 0.7500 0.5000  0.00
Ag 0.0000 0.0000 0.0000  0.04
Fe 0.5000 0.5000 0.0000  4.43

***

No. 10
Density functional theory data (PBE with a Hubbard U) for RbFeAg2F8 after structural relaxation.

Calculated values
As for the symmetry: P-1. As for the final energy: -4.09 eV per atom.

Cell: 5.0746 5.3491 7.5473 Å, 79.77 80.68 92.30°
Site moments in Bohr magnetons follow the coordinates.
Positions (direct):
Rb 0.0000 0.0000 0.5000  0.00
Fe 0.0000 0.0000 0.0000  4.43
Ag 0.3917 0.4974 0.7352  0.02
Ag 0.6083 0.5026 0.2648  0.02
F 0.0812 0.7643 0.2035  0.10
F 0.6833 0.7607 0.0118  0.07
F 0.7935 0.1837 0.1762  0.05
F 0.9188 0.2357 0.7965  0.10
F 0.3167 0.2393 0.9882  0.07
F 0.2065 0.8163 0.8238  0.05
F 0.4798 0.7282 0.4695  0.01
F 0.5202 0.2718 0.5305  0.01

***

No. 11
Density functional theory data (PBE with a Hubbard U) for FeAgRhF6 after structural relaxation.

Calculated values
As for the symmetry: P-31c. As for the final energy: -4.63 eV per atom.

Cell: 5.4782 5.4782 10.4358 Å, 90.00 90.00 120.00°
Site moments in Bohr magnetons follow the coordinates.
Positions (direct):
Fe 0.3333 0.6667 0.2500  4.43
Fe 0.6667 0.3333 0.7500  4.43
Ag 0.0000 0.0000 0.0000  0.02
Ag 0.0000 0.0000 0.5000  0.02
Rh 0.6667 0.3333 0.2500  0.88
Rh 0.3333 0.6667 0.7500  0.88
F 0.6272 0.6541 0.1448  0.10
F 0.0269 0.3728 0.1448  0.10
F 0.3728 0.0269 0.6448  0.10
F 0.9731 0.6272 0.8552  0.10
F 0.3459 0.3728 0.3552  0.10
F 0.0269 0.6541 0.3552  0.10
F 0.6541 0.0269 0.8552  0.10
F 0.6272 0.9731 0.3552  0.10
F 0.9731 0.3459 0.6448  0.10
F 0.3459 0.9731 0.1448  0.10
F 0.6541 0.6272 0.6448  0.10
F 0.3728 0.3459 0.8552  0.10

***

No. 12
Density functional theory data (PBE with a Hubbard U) for FeAgSeF2 after structural relaxation.

Calculated values
As for the symmetry: P4/mmm. As for the final energy: -4.41 eV per atom.

Cell: 3.9219 3.9219 5.4440 Å, 90.00 90.00 90.00°
Site moments in Bohr magnetons follow the coordinates.
Positions (direct):
F 0.0000 0.5000 0.0000  0.11
F 0.5000 0.0000 0.0000  0.11
Se 0.0000 0.0000 0.5000  0.12
Ag 0.5000 0.5000 0.5000  0.02
Fe 0.0000 0.0000 0.0000  4.21

***

No. 13
Density functional theory data (PBE with a Hubbard U) for SrFeAg2F6 after structural relaxation.

Calculated values
As for the symmetry: P2_1/c. As for the final energy: -4.69 eV per atom.

Cell: 5.9740 6.0730 8.6302 Å, 90.00 90.93 90.00°
Site moments in Bohr magnetons follow the coordinates.
Positions (direct):
Sr 0.5000 0.0000 0.0000  0.00
Sr 0.0000 0.5000 0.5000  0.00
Fe 0.5000 0.0000 0.5000  3.81
Fe 0.0000 0.5000 0.0000  3.81
Ag 0.0149 0.9466 0.2470  0.00
Ag 0.5149 0.5534 0.7470  0.00
Ag 0.9851 0.0534 0.7530  0.00
Ag 0.4851 0.4466 0.2530  0.00
F 0.2883 0.6784 0.0690  0.02
F 0.7883 0.8216 0.5690  0.02
F 0.7117 0.3216 0.9310  0.02
F 0.2117 0.1784 0.4310  0.02
F 0.3317 0.7166 0.4356  0.02
F 0.8317 0.7834 0.9356  0.02
F 0.6683 0.2834 0.5644  0.02
F 0.1683 0.2166 0.0644  0.02
F 0.8790 0.5635 0.2314  0.02
F 0.3790 0.9365 0.7314  0.02
F 0.1210 0.4365 0.7686  0.02
F 0.6210 0.0635 0.2686  0.02

***

No. 14
Density functional theory data (PBE with a Hubbard U) for TbFeAgF6 after structural relaxation.

Calculated values
As for the symmetry: P4_2nm. As for the final energy: -5.54 eV per atom.

Cell: 5.2344 5.2344 10.4687 Å, 90.00 90.00 90.00°
Site moments in Bohr magnetons follow the coordinates.
Positions (direct):
Tb 0.5000 0.5000 0.1697  0.01
Tb 0.0000 0.0000 0.6697  0.01
Fe 0.5000 0.5000 0.8329  3.81
Fe 0.0000 0.0000 0.3329  3.81
Ag 0.5000 0.5000 0.4997  0.01
Ag 0.0000 0.0000 0.9997  0.01
F 0.1764 0.8236 0.4969  0.02
F 0.8236 0.1764 0.4969  0.02
F 0.3236 0.3236 0.9969  0.02
F 0.6764 0.6764 0.9969  0.02
F 0.2047 0.7953 0.1893  0.01
F 0.7953 0.2047 0.1893  0.01
F 0.2953 0.2953 0.6893  0.01
F 0.7047 0.7047 0.6893  0.01
F 0.7767 0.2233 0.8126  0.02
F 0.2233 0.7767 0.8126  0.02
F 0.7233 0.7233 0.3126  0.02
F 0.2767 0.2767 0.3126  0.02

***

No. 15
Density functional theory data (PBE with a Hubbard U) for Ti2FeAgF after structural relaxation.

Calculated values
As for the symmetry: P4/mmm. As for the final energy: -3.92 eV per atom.

Cell: 5.1006 4.1186 5.1006 Å, 90.00 90.00 90.00°
Site moments in Bohr magnetons follow the coordinates.
Positions (direct):
F 0.0000 0.5000 0.0000  -0.03
Fe 0.5000 0.5000 0.5000  1.45
Ag 0.0000 0.0000 0.0000  -0.10
Ti 0.0000 0.0000 0.5000  -1.25
Ti 0.5000 0.0000 0.0000  -1.74

***

No. 16
Density functional theory data (PBE with a Hubbard U) for TlFeAgF6 after structural relaxation.

Calculated values
As for the symmetry: P-31c. As for the final energy: -4.32 eV per atom.

Cell: 5.9513 5.9513 9.3491 Å, 90.00 90.00 120.00°
Site moments in Bohr magnetons follow the coordinates.
Positions (direct):
Tl 0.6667 0.3333 0.2500  -0.21
Tl 0.3333 0.6667 0.7500  -0.21
Fe 0.3333 0.6667 0.2500  4.43
Fe 0.6667 0.3333 0.7500  4.43
Ag 0.0000 0.0000 0.0000  0.00
Ag 0.0000 0.0000 0.5000  0.00
F 0.6105 0.6688 0.1333  0.04
F 0.0582 0.3895 0.1333  0.04
F 0.3895 0.0582 0.6333  0.04
F 0.9418 0.6105 0.8667  0.04
F 0.3312 0.3895 0.3667  0.04
F 0.0582 0.6688 0.3667  0.04
F 0.6688 0.0582 0.8667  0.04
F 0.6105 0.9418 0.3667  0.04
F 0.9418 0.3312 0.6333  0.04
F 0.3312 0.9418 0.1333  0.04
F 0.6688 0.6105 0.6333  0.04
F 0.3895 0.3312 0.8667  0.04

***

No. 17
Density functional theory data (PBE with a Hubbard U) for Tl3Fe2AgF9 after structural relaxation.

Calculated values
As for the symmetry: P-3m1. As for the final energy: -4.50 eV per atom.

Cell: 6.0601 6.0601 7.6936 Å, 90.00 90.00 120.00°
Site moments in Bohr magnetons follow the coordinates.
Positions (direct):
Tl 0.3333 0.6667 0.6383  0.00
Tl 0.0000 0.0000 0.0000  0.00
Tl 0.6667 0.3333 0.3617  0.00
Fe 0.3333 0.6667 0.1477  4.17
Fe 0.6667 0.3333 0.8523  4.17
Ag 0.0000 0.0000 0.5000  0.02
F 0.8202 0.1798 0.7005  0.06
F 0.8202 0.6403 0.7005  0.06
F 0.3597 0.1798 0.7005  0.06
F 0.6403 0.8202 0.2995  0.06
F 0.1798 0.3597 0.2995  0.06
F 0.1798 0.8202 0.2995  0.06
F 0.5000 0.0000 0.0000  0.07
F 0.0000 0.5000 0.0000  0.07
F 0.5000 0.5000 0.0000  0.07

***

No. 18
Density functional theory data (PBE with a Hubbard U) for TlFeAg2F6 after structural relaxation.

Calculated values
As for the symmetry: P2_1/c. As for the final energy: -4.26 eV per atom.

Cell: 6.0452 6.1574 8.7747 Å, 90.00 90.71 90.00°
Site moments in Bohr magnetons follow the coordinates.
Positions (direct):
Tl 0.5000 0.0000 0.0000  0.01
Tl 0.0000 0.5000 0.5000  0.01
Fe 0.5000 0.0000 0.5000  4.44
Fe 0.0000 0.5000 0.0000  4.44
Ag 0.0190 0.9236 0.2490  0.01
Ag 0.5190 0.5764 0.7490  0.01
Ag 0.9810 0.0764 0.7510  0.01
Ag 0.4810 0.4236 0.2510  0.01
F 0.2649 0.6478 0.0789  0.08
F 0.7649 0.8522 0.5789  0.08
F 0.7351 0.3522 0.9211  0.08
F 0.2351 0.1478 0.4211  0.08
F 0.3842 0.7265 0.4177  0.08
F 0.8842 0.7735 0.9177  0.08
F 0.6158 0.2735 0.5823  0.08
F 0.1158 0.2265 0.0823  0.08
F 0.8519 0.5699 0.1951  0.07
F 0.3519 0.9301 0.6951  0.07
F 0.1481 0.4301 0.8049  0.07
F 0.6481 0.0699 0.3049  0.07

***

No. 19
Density functional theory data (PBE with a Hubbard U) for Tl2FeAgF6 after structural relaxation.

Calculated values
As for the symmetry: Pmmn. As for the final energy: -4.40 eV per atom.

Cell: 6.2157 6.2493 8.8185 Å, 90.00 90.00 90.00°
Site moments in Bohr magnetons follow the coordinates.
Positions (direct):
Tl 0.5000 0.7502 0.2491  0.00
Tl 0.0000 0.2498 0.7491  0.00
Tl 0.5000 0.7502 0.7509  0.00
Tl 0.0000 0.2498 0.2509  0.00
Fe 0.5000 0.2496 0.5000  4.43
Fe 0.0000 0.7504 0.0000  4.43
Ag 0.0000 0.7496 0.5000  0.03
Ag 0.5000 0.2504 0.0000  0.03
F 0.5000 0.2495 0.2773  0.08
F 0.5000 0.2495 0.7227  0.08
F 0.0000 0.7505 0.2227  0.08
F 0.0000 0.7505 0.7773  0.08
F 0.2761 0.0277 0.5000  0.08
F 0.7239 0.0277 0.5000  0.08
F 0.2761 0.4715 0.5000  0.08
F 0.7239 0.4715 0.5000  0.08
F 0.7761 0.5285 0.0000  0.08
F 0.2239 0.5285 0.0000  0.08
F 0.2239 0.9723 0.0000  0.08
F 0.7761 0.9723 0.0000  0.08